The following is a DFT calculation (PBE with a Hubbard U) of an optimized crystal structure of BeVCoO.

## Properties
For the electronic total energy, the calculation gives -5.49 eV per atom. The value obtained for the energy above the most stable polymorph in this dataset is 1.18 eV per formula unit. Its space group is Cm, No. 8.

Cell and atoms, written as extended XYZ:
```
4
Lattice="4.217 -1.388 0.000 4.217 1.388 0.000 -1.691 0.000 4.489" Properties=species:S:1:pos:R:3 pbc="T T T"
Be 0.000 0.000 0.000
V 2.276 0.000 2.230
Co 4.435 0.000 3.892
O 7.386 0.000 1.089
```